Density functional theory data (PBEsol) for a relaxed LiSbPb2 crystal.

Output
ρ	8.354	Mg/m³
energy relative to the elements, uncorrected	-0.084	eV per atom
M_tot	0.00	μB/f.u.

abc: 3.397 5.712 5.564
angles: 90.00 90.22 90.00
Space group P2/m (No. 10)
Symmetry-distinct sites (fractional):
Li: 0.000 0.000 0.000 [1 per cell]
Sb: 0.500 0.000 0.500 [1 per cell]
Pb: 0.272 0.500 0.248 [2 per cell]